Entry from Alexandria via LeMat-Bulk: PmPrTlTe after structural relaxation (GGA-PBE). Values from VASP.

The structure in Quantum ESPRESSO input format:
```
&SYSTEM
  ibrav = 0, nat = 4, ntyp = 4
/
ATOMIC_SPECIES
Pm 145.00 Pm.upf
Pr 140.91 Pr.upf
Tl 204.38 Tl.upf
Te 127.60 Te.upf
CELL_PARAMETERS angstrom
2.1717 1.2538 8.0034
-2.1717 1.2538 8.0034
0.0000 -2.5077 8.0034
ATOMIC_POSITIONS angstrom
Pm 0.0000 0.0000 0.0000
Pr 0.0000 0.0000 12.0904
Tl 0.0000 0.0000 18.0223
Te 0.0000 0.0000 6.0816
```

Values from the calculation:
**Crystal system**: trigonal

=====

Entry from Alexandria via LeMat-Bulk: Ca2BTeOs after structural relaxation (GGA-PBE). Values from VASP.

The structure in Quantum ESPRESSO input format:
```
&SYSTEM
  ibrav = 0, nat = 5, ntyp = 4
/
ATOMIC_SPECIES
Ca 40.08 Ca.upf
B 10.81 B.upf
Te 127.60 Te.upf
Os 190.23 Os.upf
CELL_PARAMETERS angstrom
5.2221 0.0000 0.0000
0.0000 5.2221 0.0000
0.0000 0.0000 4.0491
ATOMIC_POSITIONS angstrom
Ca 0.0000 2.6110 0.0000
Ca 2.6110 0.0000 0.0000
B 0.0000 0.0000 0.0000
Te 2.6110 2.6110 2.0245
Os 0.0000 0.0000 2.0245
```

Values from the calculation:
**Crystal system**: tetragonal

=====

Entry from Alexandria via LeMat-Bulk: NpInO5 after structural relaxation (GGA-PBE). Values from VASP.

The structure in Quantum ESPRESSO input format:
```
&SYSTEM
  ibrav = 0, nat = 7, ntyp = 3
/
ATOMIC_SPECIES
Np 237.00 Np.upf
In 114.82 In.upf
O 16.00 O.upf
CELL_PARAMETERS angstrom
-2.0291 3.3149 4.0232
2.0291 -3.3149 4.0232
2.0291 3.3149 -4.0232
ATOMIC_POSITIONS angstrom
Np 0.0000 0.0000 0.0000
In 0.0000 0.0000 4.0232
O 2.0291 0.0000 0.0000
O 0.0000 0.0000 1.9758
O 0.0000 2.0012 0.0000
O 0.0000 4.6286 0.0000
O 0.0000 0.0000 6.0706
```

Values from the calculation:
**Crystal system**: orthorhombic

=====

Entry from Alexandria via LeMat-Bulk: RbTiBeSe3 after structural relaxation (GGA-PBE). Values from VASP.

The structure in Quantum ESPRESSO input format:
```
&SYSTEM
  ibrav = 0, nat = 12, ntyp = 4
/
ATOMIC_SPECIES
Rb 85.47 Rb.upf
Ti 47.87 Ti.upf
Be 9.01 Be.upf
Se 78.96 Se.upf
CELL_PARAMETERS angstrom
9.2918 0.0000 0.0000
0.0000 3.7515 0.0000
-4.0214 0.0000 8.6627
ATOMIC_POSITIONS angstrom
Rb 0.9403 0.9379 2.0805
Rb 4.3302 2.8136 6.5821
Ti -0.2406 2.8136 7.5782
Ti 5.5110 0.9379 1.0844
Be -1.6569 0.9379 5.2297
Be 6.9273 2.8136 3.4330
Se -2.1153 0.9379 7.3958
Se -0.4488 2.8136 4.7104
Se 3.7552 2.8136 1.4526
Se 1.5153 0.9379 7.2101
Se 5.7192 0.9379 3.9522
Se 7.3857 2.8136 1.2669
```

Values from the calculation:
**Crystal system**: monoclinic

=====

Entry from Alexandria via LeMat-Bulk: Co2Si3P after structural relaxation (GGA-PBE). Values from VASP.

The structure in Quantum ESPRESSO input format:
```
&SYSTEM
  ibrav = 0, nat = 12, ntyp = 3
/
ATOMIC_SPECIES
Co 58.93 Co.upf
Si 28.09 Si.upf
P 30.97 P.upf
CELL_PARAMETERS angstrom
8.2805 0.0000 0.0000
-4.1402 7.1711 0.0000
0.0000 0.0000 2.5007
ATOMIC_POSITIONS angstrom
Co 0.0000 0.0000 0.0000
Co -2.0701 3.5856 0.0000
Co 4.1402 0.0000 0.0000
Co 2.0701 3.5856 0.0000
Si 0.0000 2.4220 1.2503
Si -2.0427 5.9601 1.2503
Si 2.0975 1.2110 1.2503
Si 2.0427 5.9601 1.2503
Si 6.1830 1.2110 1.2503
Si 4.1402 4.7491 1.2503
P 0.0000 4.7807 1.2503
P 4.1403 2.3904 1.2503
```

Values from the calculation:
**Crystal system**: hexagonal

=====

Entry from Alexandria via LeMat-Bulk: RbNa2InGa after structural relaxation (GGA-PBE). Values from VASP.

The structure in Quantum ESPRESSO input format:
```
&SYSTEM
  ibrav = 0, nat = 5, ntyp = 4
/
ATOMIC_SPECIES
Rb 85.47 Rb.upf
Na 22.99 Na.upf
In 114.82 In.upf
Ga 69.72 Ga.upf
CELL_PARAMETERS angstrom
6.1126 0.0000 0.0000
0.0000 6.1126 0.0000
0.0000 0.0000 5.2798
ATOMIC_POSITIONS angstrom
Rb 0.0000 0.0000 0.0000
Na 0.0000 3.0563 2.6399
Na 3.0563 0.0000 2.6399
In 3.0563 3.0563 2.6399
Ga 3.0563 3.0563 0.0000
```

Values from the calculation:
**DFT formation energy**: 0.060 eV per atom
**Crystal system**: tetragonal

=====

Entry from Alexandria via LeMat-Bulk: LaFePb2 after structural relaxation (GGA-PBE). Values from VASP.

The structure in Quantum ESPRESSO input format:
```
&SYSTEM
  ibrav = 0, nat = 4, ntyp = 3
/
ATOMIC_SPECIES
La 138.91 La.upf
Fe 55.84 Fe.upf
Pb 207.20 Pb.upf
CELL_PARAMETERS angstrom
3.6270 0.0000 0.0000
0.0000 3.6270 0.0000
0.0000 0.0000 8.0264
ATOMIC_POSITIONS angstrom
La 0.0000 0.0000 0.0000
Fe 1.8135 1.8135 6.1259
Pb 0.0000 0.0000 4.7560
Pb 1.8135 1.8135 2.5314
```

Values from the calculation:
**DFT formation energy**: 0.140 eV per atom
**Crystal system**: tetragonal

=====

Entry from Alexandria via LeMat-Bulk: Y5Ag2 after structural relaxation (GGA-PBE). Values from VASP.

The structure in Quantum ESPRESSO input format:
```
&SYSTEM
  ibrav = 0, nat = 14, ntyp = 2
/
ATOMIC_SPECIES
Y 88.91 Y.upf
Ag 107.87 Ag.upf
CELL_PARAMETERS angstrom
8.0521 -3.6035 0.0000
8.0521 3.6035 0.0000
-0.1656 0.0000 6.8190
ATOMIC_POSITIONS angstrom
Y 7.9278 3.5816 5.1142
Y 3.5724 0.1993 1.8204
Y 3.4896 -0.1993 5.2299
Y 6.5370 1.0126 0.0275
Y 9.4843 1.0126 3.3820
Y 6.4542 -1.0126 3.4370
Y 9.4015 -1.0126 6.7915
Y 12.4489 0.1993 1.5891
Y 12.3661 -0.1993 4.9986
Y 8.0107 -3.5816 1.7047
Ag 6.1635 1.8279 3.2997
Ag 9.8578 1.8279 0.1098
Ag 6.0807 -1.8279 6.7092
Ag 9.7750 -1.8279 3.5192
```

Values from the calculation:
**DFT formation energy**: -0.139 eV per atom
**Crystal system**: monoclinic

=====

no.,E_tot (eV per cell)
1,-18.6
2,-26.3
3,-54.6
4,-59.0
5,-67.9
6,-9.1
7,-20.2
8,-78.0